[1]
Computed, not measured: crystalline Rb2TlPd at its relaxed geometry at the PBEsol level of DFT.

## Properties
The crystal system is tetragonal. As for the formation energy: 56 meV per atom. The density of states at the Fermi level comes out at 0.48 states/eV/atom. The calculation puts the total magnetization at 0.00 μB/f.u.

Cell and atoms, written as POSCAR:
```
Rb2TlPd
1.0
-6.018 6.018 2.615
6.018 -6.018 2.615
6.018 6.018 -2.615
Rb Tl Pd
4 2 2
direct
0.375 0.214 0.339
0.786 0.125 0.161
0.875 0.036 0.661
0.964 0.625 0.839
0.250 0.750 0.500
0.500 0.500 0.000
0.000 0.000 0.000
0.750 0.250 0.500
```



[2]
Computed, not measured: crystalline RbTl3Pd at its relaxed geometry at the PBEsol level of DFT.

## Properties
The crystal system is cubic. As for the formation energy: -57 meV per atom. The density of states at the Fermi level comes out at 0.63 states/eV/atom. The calculation puts the total magnetization at 0.00 μB/f.u.

Cell and atoms, written as POSCAR:
```
RbTl3Pd
1.0
5.365 0.000 0.000
0.000 5.365 0.000
0.000 0.000 5.365
Rb Tl Pd
1 3 1
direct
0.000 0.000 0.000
0.000 0.500 0.500
0.500 0.000 0.500
0.500 0.500 0.000
0.500 0.500 0.500
```



[3]
Computed, not measured: crystalline RbPd3W at its relaxed geometry at the PBEsol level of DFT.

## Properties
The crystal system is cubic. As for the formation energy: 2526 meV per atom. The density of states at the Fermi level comes out at 1.02 states/eV/atom. The calculation puts the total magnetization at 4.16 μB/f.u.

Cell and atoms, written as POSCAR:
```
RbPd3W
1.0
4.851 0.000 0.000
0.000 4.851 0.000
0.000 0.000 4.851
Rb Pd W
1 3 1
direct
0.000 0.000 0.000
0.000 0.000 0.500
0.000 0.500 0.000
0.500 0.000 0.000
0.500 0.500 0.500
```



[4]
Computed, not measured: crystalline RbZrPd2W at its relaxed geometry at the PBEsol level of DFT.

## Properties
The crystal system is tetragonal. As for the formation energy: 1701 meV per atom. The density of states at the Fermi level comes out at 1.10 states/eV/atom. The calculation puts the total magnetization at 0.65 μB/f.u.

Cell and atoms, written as POSCAR:
```
RbZrPd2W
1.0
4.805 0.000 0.000
0.000 4.805 0.000
0.000 0.000 5.101
Rb Zr Pd W
1 1 2 1
direct
0.000 0.000 0.000
0.500 0.500 0.000
0.000 0.500 0.500
0.500 0.000 0.500
0.000 0.000 0.500
```



[5]
Computed, not measured: crystalline RbY3Pd at its relaxed geometry at the PBEsol level of DFT.

## Properties
The crystal system is cubic. As for the formation energy: 36 meV per atom. The density of states at the Fermi level comes out at 1.47 states/eV/atom. The calculation puts the total magnetization at 0.00 μB/f.u.

Cell and atoms, written as POSCAR:
```
RbY3Pd
1.0
5.554 0.000 0.000
0.000 5.554 0.000
0.000 0.000 5.554
Rb Y Pd
1 3 1
direct
0.000 0.000 0.000
0.000 0.500 0.500
0.500 0.000 0.500
0.500 0.500 0.000
0.500 0.500 0.500
```



[6]
Computed, not measured: crystalline RbZr2Pd at its relaxed geometry at the PBEsol level of DFT.

## Properties
The crystal system is cubic. As for the formation energy: 671 meV per atom. The density of states at the Fermi level comes out at 1.31 states/eV/atom. The calculation puts the total magnetization at 0.00 μB/f.u.

Cell and atoms, written as POSCAR:
```
RbZr2Pd
1.0
0.000 3.462 3.462
3.462 0.000 3.462
3.462 3.462 0.000
Rb Zr Pd
1 2 1
direct
0.000 0.000 0.000
0.250 0.250 0.250
0.750 0.750 0.750
0.500 0.500 0.500
```



[7]
Computed, not measured: crystalline RePd3Rh at its relaxed geometry at the PBEsol level of DFT.

## Properties
The crystal system is cubic. As for the formation energy: 2041 meV per atom. The density of states at the Fermi level comes out at 1.69 states/eV/atom. The calculation puts the total magnetization at 4.30 μB/f.u.

Cell and atoms, written as POSCAR:
```
RePd3Rh
1.0
4.632 0.000 0.000
0.000 4.632 0.000
0.000 0.000 4.632
Re Pd Rh
1 3 1
direct
0.000 0.000 0.000
0.000 0.500 0.500
0.500 0.000 0.500
0.500 0.500 0.000
0.500 0.500 0.500
```



[8]
Computed, not measured: crystalline Re2SbPd2 at its relaxed geometry at the PBEsol level of DFT.

## Properties
The crystal system is tetragonal. As for the uncorrected formation energy: 0.336 eV per atom. The density of states at the Fermi level comes out at 0.60 states/eV/atom. The calculation puts the total magnetization at 0.00 μB/f.u.

Cell and atoms, written as POSCAR:
```
Re2SbPd2
1.0
-1.775 1.775 6.898
1.775 -1.775 6.898
1.775 1.775 -6.898
Re Sb Pd
2 1 2
direct
0.250 0.750 0.500
0.750 0.250 0.500
0.000 0.000 0.000
0.400 0.400 0.000
0.600 0.600 0.000
```



[9]
Computed, not measured: crystalline Sc2ReSiPd at its relaxed geometry at the PBEsol level of DFT.

## Properties
The crystal system is tetragonal. As for the uncorrected formation energy: 0.420 eV per atom. The density of states at the Fermi level comes out at 1.39 states/eV/atom. The calculation puts the total magnetization at 0.33 μB/f.u.

Cell and atoms, written as POSCAR:
```
Sc2ReSiPd
1.0
4.831 0.000 0.000
0.000 4.831 0.000
0.000 0.000 4.355
Sc Re Si Pd
2 1 1 1
direct
0.000 0.500 0.000
0.500 0.000 0.000
0.000 0.000 0.500
0.000 0.000 0.000
0.500 0.500 0.500
```



[10]
Computed, not measured: crystalline Re3PdSe at its relaxed geometry at the PBEsol level of DFT.

## Properties
The crystal system is cubic. As for the uncorrected formation energy: 1.779 eV per atom. The density of states at the Fermi level comes out at 0.69 states/eV/atom. The calculation puts the total magnetization at 0.00 μB/f.u.

Cell and atoms, written as POSCAR:
```
Re3PdSe
1.0
4.456 0.000 0.000
0.000 4.456 0.000
0.000 0.000 4.456
Re Pd Se
3 1 1
direct
0.000 0.000 0.500
0.000 0.500 0.000
0.500 0.000 0.000
0.500 0.500 0.500
0.000 0.000 0.000
```



[11]
Computed, not measured: crystalline Re2SnPdSe at its relaxed geometry at the PBEsol level of DFT.

## Properties
The crystal system is tetragonal. As for the uncorrected formation energy: 1.719 eV per atom. The density of states at the Fermi level comes out at 1.27 states/eV/atom. The calculation puts the total magnetization at 0.01 μB/f.u.

Cell and atoms, written as POSCAR:
```
Re2SnPdSe
1.0
4.475 0.000 0.000
0.000 4.475 0.000
0.000 0.000 5.257
Re Sn Pd Se
2 1 1 1
direct
0.000 0.500 0.000
0.500 0.000 0.000
0.000 0.000 0.500
0.500 0.500 0.500
0.000 0.000 0.000
```



[12]
Computed, not measured: crystalline SrReSiPd2 at its relaxed geometry at the PBEsol level of DFT.

## Properties
The crystal system is tetragonal. As for the uncorrected formation energy: 2.324 eV per atom. The density of states at the Fermi level comes out at 1.04 states/eV/atom. The calculation puts the total magnetization at 3.71 μB/f.u.

Cell and atoms, written as POSCAR:
```
SrReSiPd2
1.0
4.838 0.000 0.000
0.000 4.838 0.000
0.000 0.000 5.286
Sr Re Si Pd
1 1 1 2
direct
0.000 0.000 0.000
0.500 0.500 0.500
0.000 0.000 0.500
0.000 0.500 0.000
0.500 0.000 0.000
```